A geometry-optimized BaCd2As structure, computed with PBE.

Unit cell a=5.512 b=6.959 c=3.503 alpha=75.90 beta=88.83 gamma=113.01
Positions (direct):
Ba1 0.500 0.500 0.000
Cd1 0.500 0.000 0.500
Cd2 0.000 0.000 0.000
As1 0.000 0.500 0.500

Total magnetic moment ... 0.00 μB per atom
ΔH_f (0 K) ... -0.662 eV per formula unit
Symmetry ... C2/m
N(E_F) ... 1.54 states/eV per cell
Raw total energy ... -9.06 eV per cell



A geometry-optimized BaCd2As structure, computed with PBE.

Unit cell a=6.291 b=6.291 c=6.291 alpha=141.35 beta=129.98 gamma=64.94
Positions (direct):
Cd1 0.539 0.539 0.000
Cd2 0.961 0.961 0.000
As1 0.750 0.250 0.500
Ba1 0.250 0.750 0.500

Total magnetic moment ... 0.00 μB per atom
ΔH_f (0 K) ... -1.285 eV per formula unit
Symmetry ... Immm
N(E_F) ... 2.56 states/eV per cell
Raw total energy ... -9.69 eV per cell



A geometry-optimized Ba2CdAs3 structure, computed with PBE.

Unit cell a=4.640 b=7.534 c=21.052 alpha=90.00 beta=90.00 gamma=90.00
Positions (direct):
Cd1 0.750 0.036 0.559
Cd2 0.250 0.464 0.059
Cd3 0.750 0.536 0.941
Cd4 0.250 0.964 0.441
Ba1 0.750 0.309 0.206
Ba2 0.750 0.339 0.423
Ba3 0.750 0.839 0.077
Ba4 0.750 0.809 0.294
Ba5 0.250 0.661 0.577
Ba6 0.250 0.161 0.923
Ba7 0.250 0.691 0.794
Ba8 0.250 0.191 0.706
As1 0.750 0.777 0.460
As2 0.750 0.355 0.822
As3 0.750 0.277 0.040
As4 0.250 0.723 0.960
As5 0.750 0.534 0.684
As6 0.250 0.223 0.540
As7 0.750 0.855 0.678
As8 0.250 0.145 0.322
As9 0.250 0.466 0.316
As10 0.250 0.645 0.178
As11 0.750 0.034 0.816
As12 0.250 0.966 0.184

Total magnetic moment ... 0.00 μB per atom
ΔH_f (0 K) ... -4.777 eV per formula unit
Symmetry ... Pnma
N(E_F) ... 8.39 states/eV per cell
Raw total energy ... -93.94 eV per cell



A geometry-optimized BaCdAs2 structure, computed with PBE.

Unit cell a=5.258 b=5.258 c=5.609 alpha=71.99 beta=71.99 gamma=57.24
Positions (direct):
Cd1 0.750 0.750 0.750
As1 0.496 0.496 0.640
As2 0.004 0.004 0.860
Ba1 0.250 0.250 0.250

Total magnetic moment ... 0.00 μB per atom
ΔH_f (0 K) ... -1.783 eV per formula unit
Symmetry ... C2/m
N(E_F) ... 1.10 states/eV per cell
Raw total energy ... -13.92 eV per cell



A geometry-optimized BaCd2As structure, computed with PBE.

Unit cell a=4.945 b=4.946 c=5.332 alpha=78.81 beta=90.00 gamma=90.00
Positions (direct):
As1 0.500 0.250 0.250
Ba1 0.500 0.750 0.750
Cd1 0.000 0.375 0.478
Cd2 0.000 0.125 0.022

Total magnetic moment ... 0.00 μB per atom
ΔH_f (0 K) ... -1.496 eV per formula unit
Symmetry ... P2/m
N(E_F) ... 2.10 states/eV per cell
Raw total energy ... -9.90 eV per cell



A geometry-optimized BaCdAs structure, computed with PBE.

Unit cell a=6.451 b=6.451 c=6.451 alpha=146.24 beta=143.01 gamma=50.94
Positions (direct):
Ba1 0.337 0.337 0.000
Cd1 0.636 0.636 0.000
As1 0.027 0.027 0.000

Total magnetic moment ... 0.00 μB per atom
ΔH_f (0 K) ... -1.149 eV per formula unit
Symmetry ... Imm2
N(E_F) ... 2.37 states/eV per cell
Raw total energy ... -8.64 eV per cell



A geometry-optimized Ba2CdAs structure, computed with PBE.

Unit cell a=5.826 b=5.826 c=5.826 alpha=60.00 beta=60.00 gamma=60.00
Positions (direct):
Ba1 0.750 0.750 0.750
Ba2 0.250 0.250 0.250
Cd1 0.500 0.500 0.500
As1 0.000 0.000 0.000

Total magnetic moment ... 0.00 μB per atom
ΔH_f (0 K) ... -2.472 eV per formula unit
Symmetry ... Fm-3m
N(E_F) ... 4.25 states/eV per cell
Raw total energy ... -11.88 eV per cell



A geometry-optimized BaCd2As structure, computed with PBE.

Unit cell a=3.773 b=4.129 c=7.361 alpha=90.00 beta=90.00 gamma=90.00
Positions (direct):
Ba1 0.500 0.500 0.723
Cd1 0.500 0.500 0.255
Cd2 0.000 0.000 0.066
As1 0.000 0.000 0.456

Total magnetic moment ... 0.00 μB per atom
ΔH_f (0 K) ... -1.187 eV per formula unit
Symmetry ... Pmm2
N(E_F) ... 1.99 states/eV per cell
Raw total energy ... -9.59 eV per cell



A geometry-optimized BaCdAs2 structure, computed with PBE.

Unit cell a=4.233 b=3.495 c=7.628 alpha=85.69 beta=90.00 gamma=90.00
Positions (direct):
As1 0.000 0.803 0.985
As2 0.000 0.697 0.515
Ba1 0.500 0.250 0.250
Cd1 0.500 0.750 0.750

Total magnetic moment ... 0.00 μB per atom
ΔH_f (0 K) ... -1.202 eV per formula unit
Symmetry ... P2/m
N(E_F) ... 2.05 states/eV per cell
Raw total energy ... -13.34 eV per cell



A geometry-optimized BaCdAs2 structure, computed with PBE.

Unit cell a=4.892 b=4.891 c=4.453 alpha=90.00 beta=90.00 gamma=90.00
Positions (direct):
Cd1 0.000 0.500 0.500
Ba1 0.500 0.000 0.500
As1 0.500 0.500 0.000
As2 0.000 0.000 0.000

Total magnetic moment ... 0.00 μB per atom
ΔH_f (0 K) ... -1.220 eV per formula unit
Symmetry ... P4/mmm
N(E_F) ... 2.38 states/eV per cell
Raw total energy ... -13.36 eV per cell



A geometry-optimized BaCd2As2 structure, computed with PBE.

Unit cell a=8.464 b=8.464 c=3.680 alpha=90.00 beta=90.00 gamma=90.00
Positions (direct):
Cd1 0.635 0.865 0.500
Cd2 0.365 0.135 0.500
Cd3 0.135 0.635 0.500
Cd4 0.865 0.365 0.500
As1 0.347 0.847 0.000
As2 0.653 0.153 0.000
As3 0.847 0.653 0.000
As4 0.153 0.347 0.000
Ba1 0.500 0.500 0.000
Ba2 0.000 0.000 0.000

Total magnetic moment ... 0.00 μB per atom
ΔH_f (0 K) ... -1.033 eV per formula unit
Symmetry ... P4/mbm
N(E_F) ... 6.59 states/eV per cell
Raw total energy ... -28.17 eV per cell



A geometry-optimized Ba4CdAs structure, computed with PBE.

Unit cell a=7.164 b=7.164 c=7.164 alpha=60.00 beta=60.00 gamma=60.00
Site moments in Bohr magnetons follow the coordinates.
Positions (direct):
Cd1 0.750 0.750 0.750  0.03
Ba1 0.374 0.374 0.374  0.09
Ba2 0.374 0.879 0.374  0.09
Ba3 0.374 0.374 0.879  0.09
Ba4 0.879 0.374 0.374  0.09
As1 0.000 0.000 0.000  -0.01

Total magnetic moment ... 0.19 μB per atom
ΔH_f (0 K) ... 1.753 eV per formula unit
Symmetry ... F-43m
N(E_F) ... 7.97 states/eV per cell
Raw total energy ... -11.50 eV per cell



A geometry-optimized Ba2CdAs structure, computed with PBE.

Unit cell a=4.805 b=4.805 c=9.073 alpha=74.62 beta=74.62 gamma=60.04
Positions (direct):
Ba1 0.984 0.984 0.049
Ba2 0.516 0.516 0.451
Cd1 0.750 0.750 0.750
As1 0.250 0.250 0.250

Total magnetic moment ... 0.00 μB per atom
ΔH_f (0 K) ... -2.671 eV per formula unit
Symmetry ... R-3m
N(E_F) ... 2.47 states/eV per cell
Raw total energy ... -12.08 eV per cell



A geometry-optimized BaCdAs2 structure, computed with PBE.

Unit cell a=3.518 b=4.881 c=6.871 alpha=90.00 beta=90.00 gamma=90.00
Positions (direct):
Ba1 0.000 0.000 0.435
Cd1 0.500 0.500 0.877
As1 0.500 0.500 0.273
As2 0.000 0.000 0.916

Total magnetic moment ... 0.00 μB per atom
ΔH_f (0 K) ... -0.574 eV per formula unit
Symmetry ... Pmm2
N(E_F) ... 3.43 states/eV per cell
Raw total energy ... -12.71 eV per cell